1.
DFT (PBE-GGA) results for crystalline Nd3YTh2Se6 at its relaxed geometry.

Calculated values
- total magnetization (μB/atom) = 0.00
- electronic total energy (eV per atom) = -6.423
- raw formation energy (eV/atom) = -1.714

a b c (Å): 7.2781 12.5817 7.2779
angles (deg): 90.00 109.51 90.00
With the nearest neighbours (Å) after each atom.
Space group C2/m (No. 12)
Inequivalent atoms, fractional coordinates:
Nd (0.0000, 0.0000, 0.0000)  6 Se 2.97-3.03
Nd (0.0000, 0.3314, 0.0000)  6 Se 2.97-3.01
Y (0.0000, 0.5000, 0.5000)  6 Se 2.91-2.92
Th (0.0000, 0.1667, 0.5000)  6 Se 2.97-2.98
Se (0.2442, 0.5000, 0.2533)  1 Y 2.92, 2 Th 2.98, 3 Nd 2.98-3.03
Se (0.2449, 0.3367, 0.7449)  1 Y 2.91, 2 Th 2.97, 3 Nd 2.97-3.01

---

2.
DFT (PBE-GGA) results for crystalline Nd2Y3ThSe6 at its relaxed geometry.

Calculated values
- total magnetization (μB/atom) = 0.00
- electronic total energy (eV per atom) = -6.517
- raw formation energy (eV/atom) = -1.746

a b c (Å): 18.2348 4.1232 8.3808
angles (deg): 90.00 104.89 90.00
With the nearest neighbours (Å) after each atom.
Space group C2/m (No. 12)
Inequivalent atoms, fractional coordinates:
Nd (0.1638, 0.0000, 0.3280)  6 Se 2.97-3.01
Y (0.0000, 0.5000, 0.5000)  6 Se 2.88-2.91
Y (0.1666, 0.0000, 0.8342)  6 Se 2.86-2.90
Th (0.0000, 0.5000, 0.0000)  6 Se 3.00
Se (0.0042, 0.0000, 0.7425)  3 Y 2.86-2.88, 1 Nd 2.97, 2 Th 3.00
Se (0.1652, 0.5000, 0.5903)  3 Y 2.90-2.91, 3 Nd 3.01
Se (0.1700, 0.5000, 0.0749)  3 Y 2.87-2.88, 2 Nd 2.98, 1 Th 3.00

---

3.
DFT (PBE-GGA) results for crystalline Nd3Y2ThSe6 at its relaxed geometry.

Calculated values
- total magnetization (μB/atom) = 0.00
- electronic total energy (eV per atom) = -6.389
- raw formation energy (eV/atom) = -1.759

a b c (Å): 18.1788 4.1615 8.4065
angles (deg): 90.00 102.80 90.00
With the nearest neighbours (Å) after each atom.
Space group C2/m (No. 12)
Inequivalent atoms, fractional coordinates:
Nd (0.0000, 0.0000, 0.0000)  6 Se 2.95-3.02
Nd (0.1623, 0.5000, 0.3339)  6 Se 2.96-3.03
Y (0.1654, 0.5000, 0.8306)  6 Se 2.85-2.92
Th (0.0000, 0.0000, 0.5000)  6 Se 2.97-3.00
Se (0.0046, 0.5000, 0.7536)  1 Y 2.85, 3 Nd 2.95-2.96, 2 Th 2.97
Se (0.1690, 0.0000, 0.5939)  2 Y 2.89, 3 Nd 2.99-3.00, 1 Th 3.00
Se (0.1706, 0.0000, 0.0765)  3 Y 2.91-2.92, 3 Nd 3.02-3.03

---

4.
DFT (PBE-GGA) results for crystalline Nd4YTh3Se8 at its relaxed geometry.

Calculated values
- total magnetization (μB/atom) = 0.00
- electronic total energy (eV per atom) = -6.439
- raw formation energy (eV/atom) = -1.710

a b c (Å): 8.3710 8.3710 20.7582
angles (deg): 90.00 90.00 120.00
With the nearest neighbours (Å) after each atom.
Space group R-3m (No. 166, hexagonal axes)
Inequivalent atoms, fractional coordinates:
Nd (0.0000, 0.0000, 0.0000)  6 Se 3.02
Nd (0.0000, 0.5000, 0.0000)  6 Se 2.97
Y (0.0000, 0.0000, 0.5000)  6 Se 2.92
Th (0.0000, 0.5000, 0.5000)  6 Se 2.97-2.98
Se (0.0000, 0.0000, 0.2504)  3 Nd 2.97, 3 Th 2.98
Se (0.0058, 0.5029, 0.2486)  1 Y 2.92, 2 Th 2.97, 3 Nd 2.97-3.02

---

5.
DFT (PBE-GGA) results for crystalline NdTiSe3 at its relaxed geometry.

Calculated values
- offset from the most stable computed form (meV/atom) = 0
- total magnetization (μB/atom) = 0.16
- electronic total energy (eV per atom) = -6.115
- raw formation energy (eV/atom) = -1.492

a b c (Å): 8.2959 3.8993 13.9848
angles (deg): 90.00 90.00 90.00
With the nearest neighbours (Å) after each atom.
Space group Pnma (No. 62)
Inequivalent atoms, fractional coordinates:
Nd (0.0862, 0.2500, 0.1703)  9 Se 3.06-3.30
Ti (0.1428, 0.7500, 0.4545)  6 Se 2.49-2.66
Se (0.0257, 0.7500, 0.6188)  3 Ti 2.49-2.61
Se (0.1582, 0.7500, 0.0075)  2 Ti 2.66
Se (0.1982, 0.2500, 0.7910)  1 Ti 2.64

---

6.
DFT (PBE-GGA) results for crystalline NdTi4Se8 at its relaxed geometry.

Calculated values
- total magnetization (μB/atom) = 0.11
- electronic total energy (eV per atom) = -6.218
- raw formation energy (eV/atom) = -1.277

a b c (Å): 7.2627 7.2627 20.8494
angles (deg): 90.00 90.00 120.00
With the nearest neighbours (Å) after each atom.
Space group R-3m (No. 166, hexagonal axes)
Inequivalent atoms, fractional coordinates:
Nd (0.0000, 0.0000, 0.0000)  6 Se 2.90
Ti (0.0000, 0.0000, 0.5000)  6 Se 2.56
Ti (0.0000, 0.5000, 0.5000)  6 Se 2.58-2.63
Se (0.0000, 0.0000, 0.2384)  3 Ti 2.58
Se (0.0096, 0.5048, 0.2407)  3 Ti 2.56-2.63